[1]
Compound: CaLaAl
Source: Alexandria via LeMat-Bulk
Functional: PBE
Structure: relaxed

Unit cell a=7.5664 b=3.7436 c=13.3702 alpha=90.00 beta=90.00 gamma=90.00
Last column: nearest neighbours and their distance in Å.
Space group Pnma (No. 62)
Symmetry-distinct sites (fractional):
Ca1 0.1205 0.2500 0.1112 [4 per cell]  4 Al 3.24-3.25
La1 0.1219 0.2500 0.3873 [4 per cell]  4 Al 3.23-3.24
Al1 0.1301 0.2500 0.7494 [4 per cell]  4 La 3.23-3.24, 4 Ca 3.24-3.25

Calculated values
The energy relative to the lowest polymorph listed for this composition comes out at 0.1144 eV/atom. As for the calculated total energy: -3.723 eV per atom. As for the calculated formation energy: -166 meV per atom.


[2]
Compound: Pd2AuI2
Source: Alexandria via LeMat-Bulk
Functional: PBE
Structure: relaxed

Unit cell a=7.8771 b=7.8771 c=3.7419 alpha=90.00 beta=90.00 gamma=90.00
Last column: nearest neighbours and their distance in Å.
Space group P4/mbm (No. 127)
Symmetry-distinct sites (fractional):
Pd1 0.1237 0.3763 0.0000 [4 per cell]  1 Pd 2.76, 6 I 2.88-3.07
Au1 0.0000 0.0000 0.5000 [2 per cell]  4 I 2.89
I1 0.1794 0.6794 0.5000 [4 per cell]  6 Pd 2.88-3.07, 2 Au 2.89

Calculated values
The value obtained for the uncorrected formation energy is 0.345 eV/atom. The energy relative to the lowest polymorph listed for this composition comes out at 0.0361 eV/atom. As for the calculated total energy: -3.008 eV per atom.


[3]
Compound: LiHfZnIn
Source: Alexandria via LeMat-Bulk
Functional: PBE
Structure: relaxed

Unit cell a=6.7162 b=6.7162 c=6.7162 alpha=90.00 beta=90.00 gamma=90.00
Last column: nearest neighbours and their distance in Å.
Space group F-43m (No. 216)
Symmetry-distinct sites (fractional):
Li1 0.0000 0.0000 0.0000 [4 per cell]  4 Zn 2.91, 4 In 2.91
Hf1 0.0000 0.0000 0.5000 [4 per cell]  4 In 2.91, 4 Zn 2.91
Zn1 0.2500 0.2500 0.7500 [4 per cell]  4 Hf 2.91, 4 Li 2.91
In1 0.2500 0.2500 0.2500 [4 per cell]  4 Hf 2.91, 4 Li 2.91

Calculated values
The energy relative to the lowest polymorph listed for this composition comes out at 0.1055 eV/atom. As for the calculated total energy: -4.065 eV per atom. As for the calculated formation energy: -95 meV per atom.


[4]
Compound: TaZnSBr2
Source: Alexandria via LeMat-Bulk
Functional: PBE
Structure: relaxed

Unit cell a=4.9852 b=4.9852 c=4.6851 alpha=90.00 beta=90.00 gamma=90.00
Last column: nearest neighbours and their distance in Å.
Space group P4/mmm (No. 123)
Symmetry-distinct sites (fractional):
Ta1 0.0000 0.0000 0.0000 [1 per cell]  8 Br 3.42, 4 S 3.53
Zn1 0.5000 0.5000 0.5000 [1 per cell]  2 S 2.34, 4 Br 2.49
S1 0.5000 0.5000 0.0000 [1 per cell]  2 Zn 2.34
Br1 0.0000 0.5000 0.5000 [2 per cell]  2 Zn 2.49

Calculated values
The value obtained for the uncorrected formation energy is 0.714 eV/atom. As for the calculated total energy: -3.406 eV per atom.


[5]
Compound: MnS2BrN
Source: Alexandria via LeMat-Bulk
Functional: PBE
Structure: relaxed

Unit cell a=4.6955 b=4.6955 c=3.5176 alpha=90.00 beta=90.00 gamma=90.00
Last column: nearest neighbours and their distance in Å.
Space group P4/mmm (No. 123)
Symmetry-distinct sites (fractional):
Mn1 0.0000 0.0000 0.0000 [1 per cell]  2 N 1.76
S1 0.0000 0.5000 0.0000 [2 per cell]  2 Mn 2.35
Br1 0.5000 0.5000 0.5000 [1 per cell]  8 S 2.93
N1 0.0000 0.0000 0.5000 [1 per cell]  2 Mn 1.76

Calculated values
The value obtained for the uncorrected formation energy is 0.549 eV/atom. The energy relative to the lowest polymorph listed for this composition comes out at 0.0000 eV/atom. As for the calculated total energy: -4.936 eV per atom.


[6]
Compound: NpPa2Se4
Source: Alexandria via LeMat-Bulk
Functional: PBE
Structure: relaxed

Unit cell a=8.6003 b=8.6003 c=8.6009 alpha=90.00 beta=90.00 gamma=90.00
Last column: nearest neighbours and their distance in Å.
Space group I-42d (No. 122)
Symmetry-distinct sites (fractional):
Np1 0.0000 0.0000 0.0000 [4 per cell]  8 Se 2.92-3.04
Pa1 0.1248 0.2500 0.6250 [8 per cell]  8 Se 2.91-3.04
Se1 0.0773 0.1733 0.2983 [16 per cell]  4 Pa 2.91-3.04, 2 Np 2.92-3.04, 3 Se 3.25-3.26

Calculated values
The value obtained for the uncorrected formation energy is -1.241 eV/atom. The energy relative to the lowest polymorph listed for this composition comes out at 0.0000 eV/atom. As for the calculated total energy: -7.794 eV per atom.


[7]
Compound: Cd7GaAu4
Source: Alexandria via LeMat-Bulk
Functional: PBE
Structure: relaxed

Unit cell a=12.9151 b=5.0455 c=10.1848 alpha=90.00 beta=125.94 gamma=90.00
Last column: nearest neighbours and their distance in Å.
Space group C2/m (No. 12)
Symmetry-distinct sites (fractional):
Cd1 0.0000 0.0000 0.0000 [2 per cell]  2 Ga 2.52
Cd2 0.0709 0.5000 0.3406 [4 per cell]  5 Au 2.83-3.09, 1 Cd 3.00, 1 Ga 3.02
Cd3 0.1508 0.0000 0.5799 [4 per cell]  5 Au 2.76-3.06
Cd4 0.2157 0.5000 0.8774 [4 per cell]  4 Au 2.88-2.94, 2 Cd 3.00-3.11
Ga1 0.0000 0.5000 0.0000 [2 per cell]  2 Cd 2.52
Au1 0.0722 0.0000 0.7806 [4 per cell]  8 Cd 2.76-3.06, 1 Au 3.06
Au2 0.2068 0.0000 0.3363 [4 per cell]  8 Cd 2.83-3.09, 1 Au 3.06

Calculated values
As for the calculated total energy: -1.935 eV per atom. As for the calculated formation energy: -56 meV per atom.


[8]
Compound: AlTlP2Cl
Source: Alexandria via LeMat-Bulk
Functional: PBE
Structure: relaxed

Unit cell a=4.7021 b=4.7021 c=5.2581 alpha=90.00 beta=90.00 gamma=90.00
Last column: nearest neighbours and their distance in Å.
Space group P4/mmm (No. 123)
Symmetry-distinct sites (fractional):
Al1 0.0000 0.0000 0.0000 [1 per cell]  4 P 2.35, 2 Cl 2.63
Tl1 0.5000 0.5000 0.5000 [1 per cell]  4 Cl 3.32, 8 P 3.53
P1 0.0000 0.5000 0.0000 [2 per cell]  2 Al 2.35
Cl1 0.0000 0.0000 0.5000 [1 per cell]  2 Al 2.63

Calculated values
The value obtained for the uncorrected formation energy is 0.085 eV/atom. The energy relative to the lowest polymorph listed for this composition comes out at 0.0000 eV/atom. As for the calculated total energy: -3.670 eV per atom.


[9]
Compound: Tl3OsN
Source: Alexandria via LeMat-Bulk
Functional: PBE
Structure: relaxed

Unit cell a=5.3176 b=5.3176 c=5.3176 alpha=90.00 beta=90.00 gamma=90.00
Last column: nearest neighbours and their distance in Å.
Space group Pm-3m (No. 221)
Symmetry-distinct sites (fractional):
Tl1 0.0000 0.0000 0.5000 [3 per cell]  2 Os 2.66
Os1 0.0000 0.0000 0.0000 [1 per cell]  6 Tl 2.66
N1 0.5000 0.5000 0.5000 [1 per cell]  12 Tl 3.76

Calculated values
The value obtained for the uncorrected formation energy is 1.303 eV/atom. The energy relative to the lowest polymorph listed for this composition comes out at 0.0000 eV/atom. As for the calculated total energy: -4.028 eV per atom.


[10]
Compound: NdMgCdHg
Source: Alexandria via LeMat-Bulk
Functional: PBE
Structure: relaxed

Unit cell a=7.3302 b=7.3302 c=7.3302 alpha=90.00 beta=90.00 gamma=90.00
Last column: nearest neighbours and their distance in Å.
Space group F-43m (No. 216)
Symmetry-distinct sites (fractional):
Nd1 0.0000 0.0000 0.0000 [4 per cell]  4 Cd 3.17, 4 Hg 3.17
Mg1 0.0000 0.0000 0.5000 [4 per cell]  4 Hg 3.17, 4 Cd 3.17
Cd1 0.2500 0.2500 0.7500 [4 per cell]  4 Mg 3.17, 4 Nd 3.17
Hg1 0.2500 0.2500 0.2500 [4 per cell]  4 Mg 3.17, 4 Nd 3.17

Calculated values
As for the calculated total energy: -2.292 eV per atom. As for the calculated formation energy: -397 meV per atom.